Record 1
The following is a GGA-PBE calculation of a relaxed structure of Er3Ni9P2Ir, from Alexandria.

Cell lengths 6.7725, 6.7725, 6.1077 Å; angles 90.00, 90.00, 120.00 degrees
Space group P-3m1 (No. 164)
Inequivalent atoms, fractional coordinates:
Er1 0.0000 0.0000 0.0000 x1
Er2 0.3333 0.6667 0.6595 x2
Ni1 0.0000 0.5000 0.0000 x3
Ni2 0.1801 0.3603 0.3208 x6
P1 0.3333 0.6667 0.1329 x2
Ir1 0.0000 0.0000 0.5000 x1

Calculated values
Energy of formation: -0.261 eV/atom

---

Record 2
The following is a GGA-PBE calculation of a relaxed structure of Er2NiP4Ir3, from Alexandria.

Cell lengths 4.119, 4.119, 9.387 Å; angles 90.00, 90.00, 90.00 degrees
Space group P-4m2 (No. 115)
Inequivalent atoms, fractional coordinates:
Er1 0.000 0.500 0.248 x2
Ni1 0.000 0.000 0.500 x1
P1 0.000 0.000 0.000 x1
P2 0.000 0.500 0.633 x2
P3 0.500 0.500 0.000 x1
Ir1 0.000 0.500 0.882 x2
Ir2 0.500 0.500 0.500 x1

Calculated values
Energy of formation: -0.932 eV/atom

---

Copy entry 2 word for word.
The following is a GGA-PBE calculation of a relaxed structure of Er2NiP4Ir3, from Alexandria.

Cell lengths 4.119, 4.119, 9.387 Å; angles 90.00, 90.00, 90.00 degrees
Space group P-4m2 (No. 115)
Inequivalent atoms, fractional coordinates:
Er1 0.000 0.500 0.248 x2
Ni1 0.000 0.000 0.500 x1
P1 0.000 0.000 0.000 x1
P2 0.000 0.500 0.633 x2
P3 0.500 0.500 0.000 x1
Ir1 0.000 0.500 0.882 x2
Ir2 0.500 0.500 0.500 x1

Calculated values
Energy of formation: -0.932 eV/atom

---

- Which value of energy of formation does entry 2 give?
  -0.932 eV/atom

---

- What is the formula in the second record?
  Er2NiP4Ir3